[1]
Pt2WO | PBE with a Hubbard U | relaxed

Results
DFT total energy: -5.720 eV/atom

a = 5.4302 Å, b = 5.4302 Å, c = 5.4302 Å
α = 102.65°, β = 102.65°, γ = 124.19°
Atoms (fractional coordinates):
Pt: 0.0924 0.1250 0.4674
Pt: 0.3750 0.9076 0.0326
Pt: 0.6576 0.6250 0.5326
Pt: 0.8750 0.3424 0.9674
W: 0.2500 0.7500 0.5000
W: 0.5000 0.5000 0.0000
O: 0.0000 0.0000 0.0000
O: 0.7500 0.2500 0.5000

---

[2]
PtWO2 | PBE with a Hubbard U | relaxed

Results
distance to the lowest polymorph of the same formula: 0.000 eV/atom
DFT total energy: -6.555 eV/atom

a = 7.0922 Å, b = 7.0922 Å, c = 7.0922 Å
α = 22.82°, β = 22.82°, γ = 22.82°
Atoms (fractional coordinates):
Pt: 0.0000 0.0000 0.0000
W: 0.5000 0.5000 0.5000
O: 0.0989 0.0989 0.0989
O: 0.9011 0.9011 0.9011

---

[3]
PtW3O | PBE with a Hubbard U | relaxed

Results
distance to the lowest polymorph of the same formula: 0.000 eV/atom
DFT total energy: -6.053 eV/atom

a = 4.1830 Å, b = 4.1830 Å, c = 4.1830 Å
α = 90.00°, β = 90.00°, γ = 90.00°
Atoms (fractional coordinates):
Pt: 0.0000 0.0000 0.0000
W: 0.0000 0.5000 0.5000
W: 0.5000 0.0000 0.5000
W: 0.5000 0.5000 0.0000
O: 0.5000 0.5000 0.5000

---

[4]
PtWO3 | PBE with a Hubbard U | relaxed

Results
DFT total energy: -6.239 eV/atom

a = 3.9303 Å, b = 3.9303 Å, c = 3.9303 Å
α = 90.00°, β = 90.00°, γ = 90.00°
Atoms (fractional coordinates):
Pt: 0.0000 0.0000 0.0000
W: 0.5000 0.5000 0.5000
O: 0.0000 0.5000 0.5000
O: 0.5000 0.0000 0.5000
O: 0.5000 0.5000 0.0000

---

[5]
ZrPtWO2 | PBE with a Hubbard U | relaxed

Results
DFT total energy: -6.983 eV/atom

a = 3.9724 Å, b = 3.9724 Å, c = 7.2818 Å
α = 90.00°, β = 90.00°, γ = 90.00°
Atoms (fractional coordinates):
Zr: 0.0000 0.0000 0.0000
Pt: 0.5000 0.5000 0.5000
W: 0.0000 0.0000 0.5000
O: 0.0000 0.5000 0.0000
O: 0.5000 0.0000 0.0000